# 1
# PBE Tm2RuPb, optimized geometry
# * calculated total energy: -5.993 eV per atom
# * symmetry: P4/mmm (123)
data_Tm2RuPb
_chemical_formula_sum 'Tm2 Ru1 Pb1'
_cell_length_a 3.404
_cell_length_b 3.404
_cell_length_c 8.068
_cell_angle_alpha 90.00
_cell_angle_beta 90.00
_cell_angle_gamma 90.00
_symmetry_space_group_name_H-M 'P 1'
_symmetry_Int_Tables_number 1
_symmetry_space_group_name_Hall 'P 1'
loop_
_atom_site_label
_atom_site_type_symbol
_atom_site_fract_x
_atom_site_fract_y
_atom_site_fract_z
_atom_site_occupancy
Tm1 Tm 0.000 0.000 0.798 1
Tm2 Tm 0.000 0.000 0.202 1
Ru1 Ru 0.500 0.500 0.000 1
Pb1 Pb 0.500 0.500 0.500 1

# 2
# PBE AgMoCl6, optimized geometry
# * formation energy (no corrections): -0.682 eV per atom
# * calculated total energy: -3.777 eV per atom
# * symmetry: C2/m (12)
data_AgMoCl6
_chemical_formula_sum 'Ag1 Mo1 Cl6'
_cell_length_a 6.595
_cell_length_b 6.595
_cell_length_c 6.535
_cell_angle_alpha 100.25
_cell_angle_beta 100.25
_cell_angle_gamma 118.75
_symmetry_space_group_name_H-M 'P 1'
_symmetry_Int_Tables_number 1
_symmetry_space_group_name_Hall 'P 1'
loop_
_atom_site_label
_atom_site_type_symbol
_atom_site_fract_x
_atom_site_fract_y
_atom_site_fract_z
_atom_site_occupancy
Ag1 Ag 0.000 0.000 0.000 1
Mo1 Mo 0.500 0.500 0.500 1
Cl1 Cl 0.563 0.859 0.734 1
Cl2 Cl 0.859 0.563 0.734 1
Cl3 Cl 0.141 0.437 0.266 1
Cl4 Cl 0.437 0.141 0.266 1
Cl5 Cl 0.274 0.274 0.697 1
Cl6 Cl 0.726 0.726 0.303 1

# 3
# PBE La2Nd3Y6Er, optimized geometry
# * calculated total energy: -5.614 eV per atom
# * symmetry: C2/m (12)
data_La2Nd3Y6Er
_chemical_formula_sum 'La2 Nd3 Y6 Er1'
_cell_length_a 6.285
_cell_length_b 6.285
_cell_length_c 11.924
_cell_angle_alpha 95.03
_cell_angle_beta 95.03
_cell_angle_gamma 119.99
_symmetry_space_group_name_H-M 'P 1'
_symmetry_Int_Tables_number 1
_symmetry_space_group_name_Hall 'P 1'
loop_
_atom_site_label
_atom_site_type_symbol
_atom_site_fract_x
_atom_site_fract_y
_atom_site_fract_z
_atom_site_occupancy
La1 La 0.334 0.666 0.000 1
La2 La 0.666 0.334 0.000 1
Nd1 Nd 0.167 0.833 0.500 1
Nd2 Nd 0.833 0.167 0.500 1
Nd3 Nd 0.500 0.500 0.500 1
Y1 Y 0.917 0.584 0.750 1
Y2 Y 0.751 0.751 0.251 1
Y3 Y 0.083 0.416 0.250 1
Y4 Y 0.584 0.917 0.750 1
Y5 Y 0.249 0.249 0.749 1
Y6 Y 0.416 0.083 0.250 1
Er1 Er 0.000 0.000 0.000 1

# 4
# PBE LiSn, optimized geometry
# * calculated total energy: -2.926 eV per atom
# * symmetry: Fm-3m (225)
data_LiSn
_chemical_formula_sum 'Li4 Sn4'
_cell_length_a 5.633
_cell_length_b 5.633
_cell_length_c 5.633
_cell_angle_alpha 90.00
_cell_angle_beta 90.00
_cell_angle_gamma 90.00
_symmetry_space_group_name_H-M 'P 1'
_symmetry_Int_Tables_number 1
_symmetry_space_group_name_Hall 'P 1'
loop_
_atom_site_label
_atom_site_type_symbol
_atom_site_fract_x
_atom_site_fract_y
_atom_site_fract_z
_atom_site_occupancy
Li1 Li 0.000 0.000 0.000 1
Li2 Li 0.000 0.500 0.500 1
Li3 Li 0.500 0.000 0.500 1
Li4 Li 0.500 0.500 0.000 1
Sn1 Sn 0.500 0.500 0.500 1
Sn2 Sn 0.500 0.000 0.000 1
Sn3 Sn 0.000 0.500 0.000 1
Sn4 Sn 0.000 0.000 0.500 1

# 5
# PBE Dy2HfTe5, optimized geometry
# * formation energy (no corrections): -1.056 eV per atom
# * calculated total energy: -5.414 eV per atom
# * symmetry: Cmcm (63)
data_Dy2HfTe5
_chemical_formula_sum 'Dy4 Hf2 Te10'
_cell_length_a 5.953
_cell_length_b 7.790
_cell_length_c 14.231
_cell_angle_alpha 90.00
_cell_angle_beta 90.00
_cell_angle_gamma 112.46
_symmetry_space_group_name_H-M 'P 1'
_symmetry_Int_Tables_number 1
_symmetry_space_group_name_Hall 'P 1'
loop_
_atom_site_label
_atom_site_type_symbol
_atom_site_fract_x
_atom_site_fract_y
_atom_site_fract_z
_atom_site_occupancy
Dy1 Dy 0.845 0.690 0.442 1
Dy2 Dy 0.845 0.690 0.058 1
Dy3 Dy 0.155 0.310 0.558 1
Dy4 Dy 0.155 0.310 0.942 1
Hf1 Hf 0.808 0.616 0.750 1
Hf2 Hf 0.192 0.384 0.250 1
Te1 Te 0.954 0.908 0.878 1
Te2 Te 0.954 0.908 0.622 1
Te3 Te 0.321 0.641 0.414 1
Te4 Te 0.321 0.641 0.086 1
Te5 Te 0.733 0.465 0.250 1
Te6 Te 0.267 0.535 0.750 1
Te7 Te 0.679 0.359 0.586 1
Te8 Te 0.679 0.359 0.914 1
Te9 Te 0.046 0.092 0.122 1
Te10 Te 0.046 0.092 0.378 1

# 6
# PBE Na4CuF7, optimized geometry
# * formation energy (no corrections): -2.166 eV per atom
# * calculated total energy: -4.038 eV per atom
# * symmetry: C2/m (12)
data_Na4CuF7
_chemical_formula_sum 'Na4 Cu1 F7'
_cell_length_a 3.753
_cell_length_b 7.545
_cell_length_c 6.360
_cell_angle_alpha 81.19
_cell_angle_beta 72.84
_cell_angle_gamma 75.60
_symmetry_space_group_name_H-M 'P 1'
_symmetry_Int_Tables_number 1
_symmetry_space_group_name_Hall 'P 1'
loop_
_atom_site_label
_atom_site_type_symbol
_atom_site_fract_x
_atom_site_fract_y
_atom_site_fract_z
_atom_site_occupancy
Na1 Na 0.587 0.261 0.564 1
Na2 Na 0.413 0.739 0.436 1
Na3 Na 0.734 0.640 0.891 1
Na4 Na 0.266 0.360 0.109 1
Cu1 Cu 0.000 0.000 0.000 1
F1 F 0.781 0.846 0.592 1
F2 F 0.219 0.154 0.408 1
F3 F 0.062 0.764 0.112 1
F4 F 0.938 0.236 0.888 1
F5 F 0.362 0.522 0.755 1
F6 F 0.500 0.000 0.000 1
F7 F 0.638 0.478 0.245 1

# 7
# PBE La5Bi4I, optimized geometry
# * formation energy (no corrections): -1.072 eV per atom
# * calculated total energy: -5.243 eV per atom
# * symmetry: Immm (71)
data_La5Bi4I
_chemical_formula_sum 'La5 Bi4 I1'
_cell_length_a 4.704
_cell_length_b 6.624
_cell_length_c 12.381
_cell_angle_alpha 105.52
_cell_angle_beta 100.95
_cell_angle_gamma 90.00
_symmetry_space_group_name_H-M 'P 1'
_symmetry_Int_Tables_number 1
_symmetry_space_group_name_Hall 'P 1'
loop_
_atom_site_label
_atom_site_type_symbol
_atom_site_fract_x
_atom_site_fract_y
_atom_site_fract_z
_atom_site_occupancy
La1 La 0.605 0.105 0.209 1
La2 La 0.800 0.300 0.601 1
La3 La 0.200 0.700 0.399 1
La4 La 0.000 0.500 0.000 1
La5 La 0.395 0.895 0.791 1
Bi1 Bi 0.401 0.401 0.802 1
Bi2 Bi 0.800 0.800 0.599 1
Bi3 Bi 0.200 0.200 0.401 1
Bi4 Bi 0.599 0.599 0.198 1
I1 I 0.000 0.000 0.000 1

# 8
# PBE La12Tb7Nd, optimized geometry
# * calculated total energy: -4.616 eV per atom
# * symmetry: R-3m (166)
data_La12Tb7Nd
_chemical_formula_sum 'La12 Tb7 Nd1'
_cell_length_a 6.392
_cell_length_b 11.544
_cell_length_c 11.544
_cell_angle_alpha 116.67
_cell_angle_beta 100.64
_cell_angle_gamma 100.64
_symmetry_space_group_name_H-M 'P 1'
_symmetry_Int_Tables_number 1
_symmetry_space_group_name_Hall 'P 1'
loop_
_atom_site_label
_atom_site_type_symbol
_atom_site_fract_x
_atom_site_fract_y
_atom_site_fract_z
_atom_site_occupancy
La1 La 0.092 0.592 0.185 1
La2 La 0.093 0.185 0.592 1
La3 La 0.569 0.644 0.000 1
La4 La 0.431 0.000 0.356 1
La5 La 0.500 0.408 0.592 1
La6 La 0.075 0.644 0.644 1
La7 La 0.925 0.356 0.356 1
La8 La 0.500 0.592 0.408 1
La9 La 0.569 0.000 0.644 1
La10 La 0.431 0.356 0.000 1
La11 La 0.907 0.815 0.408 1
La12 La 0.908 0.408 0.815 1
Tb1 Tb 0.116 0.750 0.000 1
Tb2 Tb 0.884 0.000 0.250 1
Tb3 Tb 0.634 0.750 0.750 1
Tb4 Tb 0.500 0.000 0.000 1
Tb5 Tb 0.366 0.250 0.250 1
Tb6 Tb 0.116 0.000 0.750 1
Tb7 Tb 0.884 0.250 0.000 1
Nd1 Nd 0.000 0.000 0.000 1

# 9
# PBE K2NbTe3O12, optimized geometry
# * formation energy (no corrections): -1.476 eV per atom
# * calculated total energy: -5.987 eV per atom
# * symmetry: R-3m (166)
data_K2NbTe3O12
_chemical_formula_sum 'K2 Nb1 Te3 O12'
_cell_length_a 7.384
_cell_length_b 7.384
_cell_length_c 7.384
_cell_angle_alpha 59.82
_cell_angle_beta 59.82
_cell_angle_gamma 59.82
_symmetry_space_group_name_H-M 'P 1'
_symmetry_Int_Tables_number 1
_symmetry_space_group_name_Hall 'P 1'
loop_
_atom_site_label
_atom_site_type_symbol
_atom_site_fract_x
_atom_site_fract_y
_atom_site_fract_z
_atom_site_occupancy
K1 K 0.626 0.626 0.626 1
K2 K 0.374 0.374 0.374 1
Nb1 Nb 0.000 0.000 0.000 1
Te1 Te 0.500 0.000 0.000 1
Te2 Te 0.000 0.500 0.000 1
Te3 Te 0.000 0.000 0.500 1
O1 O 0.322 0.322 0.927 1
O2 O 0.931 0.931 0.323 1
O3 O 0.323 0.931 0.931 1
O4 O 0.927 0.322 0.322 1
O5 O 0.931 0.323 0.931 1
O6 O 0.322 0.927 0.322 1
O7 O 0.678 0.678 0.073 1
O8 O 0.069 0.069 0.677 1
O9 O 0.677 0.069 0.069 1
O10 O 0.073 0.678 0.678 1
O11 O 0.069 0.677 0.069 1
O12 O 0.678 0.073 0.678 1

# 10
# PBE Rb2SrHg2, optimized geometry
# * calculated total energy: -0.886 eV per atom
# * symmetry: P4/mbm (127)
data_Rb2SrHg2
_chemical_formula_sum 'Rb4 Sr2 Hg4'
_cell_length_a 10.362
_cell_length_b 10.362
_cell_length_c 4.127
_cell_angle_alpha 90.00
_cell_angle_beta 90.00
_cell_angle_gamma 90.00
_symmetry_space_group_name_H-M 'P 1'
_symmetry_Int_Tables_number 1
_symmetry_space_group_name_Hall 'P 1'
loop_
_atom_site_label
_atom_site_type_symbol
_atom_site_fract_x
_atom_site_fract_y
_atom_site_fract_z
_atom_site_occupancy
Sr1 Sr 0.000 0.000 0.000 1
Sr2 Sr 0.500 0.500 0.000 1
Hg1 Hg 0.174 0.674 0.500 1
Hg2 Hg 0.674 0.826 0.500 1
Hg3 Hg 0.826 0.326 0.500 1
Hg4 Hg 0.326 0.174 0.500 1
Rb1 Rb 0.372 0.872 0.000 1
Rb2 Rb 0.872 0.628 0.000 1
Rb3 Rb 0.628 0.128 0.000 1
Rb4 Rb 0.128 0.372 0.000 1

# 11
# PBE Ce4Tm, optimized geometry
# * calculated total energy: -4.781 eV per atom
# * symmetry: Pm-3m (221)
data_Ce4Tm
_chemical_formula_sum 'Ce4 Tm1'
_cell_length_a 5.664
_cell_length_b 5.664
_cell_length_c 5.664
_cell_angle_alpha 90.00
_cell_angle_beta 90.00
_cell_angle_gamma 90.00
_symmetry_space_group_name_H-M 'P 1'
_symmetry_Int_Tables_number 1
_symmetry_space_group_name_Hall 'P 1'
loop_
_atom_site_label
_atom_site_type_symbol
_atom_site_fract_x
_atom_site_fract_y
_atom_site_fract_z
_atom_site_occupancy
Tm1 Tm 0.500 0.500 0.500 1
Ce1 Ce 0.000 0.000 0.000 1
Ce2 Ce 0.500 0.000 0.500 1
Ce3 Ce 0.000 0.500 0.500 1
Ce4 Ce 0.500 0.500 0.000 1

# 12
# PBE TmMg3Zr2, optimized geometry
# * calculated total energy: -4.382 eV per atom
# * symmetry: C2/m (12)
data_TmMg3Zr2
_chemical_formula_sum 'Tm2 Mg6 Zr4'
_cell_length_a 3.267
_cell_length_b 10.154
_cell_length_c 9.985
_cell_angle_alpha 61.88
_cell_angle_beta 80.59
_cell_angle_gamma 80.74
_symmetry_space_group_name_H-M 'P 1'
_symmetry_Int_Tables_number 1
_symmetry_space_group_name_Hall 'P 1'
loop_
_atom_site_label
_atom_site_type_symbol
_atom_site_fract_x
_atom_site_fract_y
_atom_site_fract_z
_atom_site_occupancy
Tm1 Tm 0.891 0.488 0.729 1
Tm2 Tm 0.109 0.512 0.271 1
Mg1 Mg 0.109 0.013 0.769 1
Mg2 Mg 0.891 0.987 0.231 1
Mg3 Mg 0.444 0.175 0.936 1
Mg4 Mg 0.556 0.825 0.064 1
Mg5 Mg 0.564 0.296 0.576 1
Mg6 Mg 0.436 0.704 0.424 1
Zr1 Zr 0.224 0.649 0.903 1
Zr2 Zr 0.776 0.351 0.097 1
Zr3 Zr 0.769 0.858 0.605 1
Zr4 Zr 0.231 0.142 0.395 1